[1]
Computed, not measured: an optimized crystal structure of TbBeNi2 at the PBE level of DFT.

```
TbBeNi2
1.0
3.8615 0.0000 0.0000
-1.9307 3.3441 0.0000
0.0000 0.0000 14.0593
Tb Be Ni
3 3 6
Cartesian
0.0000 0.0000 0.0000
0.0000 2.2294 9.3729
1.9307 1.1147 4.6864
0.0000 0.0000 7.0297
0.0000 2.2294 2.3432
1.9307 1.1147 11.7161
0.0000 0.0000 2.8180
0.0000 0.0000 11.2413
0.0000 2.2294 6.5549
0.0000 2.2294 12.1909
1.9307 1.1147 1.8685
1.9307 1.1147 7.5044
```


[2]
Computed, not measured: an optimized crystal structure of KCaHg at the PBE level of DFT.

```
KCaHg
1.0
5.5439 0.0000 0.0000
-2.7719 4.8011 0.0000
0.0000 0.0000 4.5527
K Ca Hg
1 1 1
Cartesian
0.0000 0.0000 0.0000
2.7719 1.6004 2.2763
0.0000 3.2008 2.2763
```


[3]
Computed, not measured: an optimized crystal structure of Ho5Ir2 at the PBE level of DFT.

```
Ho5Ir2
1.0
7.8622 -3.2346 0.0000
7.8622 3.2346 0.0000
-0.8927 0.0000 7.1251
Ho Ir
10 4
Cartesian
7.1928 2.7795 5.3438
3.1724 0.4460 2.2494
2.7261 -0.4460 5.8119
6.3384 0.7531 0.5801
8.9398 0.7531 2.9824
5.8921 -0.7531 4.1426
8.4934 -0.7531 6.5450
12.1057 0.4460 1.3132
11.6594 -0.4460 4.8757
7.6391 -2.7795 1.7813
5.7464 1.8450 3.0363
9.5318 1.8450 0.5262
5.3000 -1.8450 6.5988
9.0855 -1.8450 4.0887
```


[4]
Computed, not measured: an optimized crystal structure of Ce6GePb2C at the PBE level of DFT.

```
Ce6GePb2C
1.0
5.3152 0.0000 0.0000
0.0000 5.3152 0.0000
0.0000 0.0000 10.3977
Ce Ge Pb C
6 1 2 1
Cartesian
0.0000 0.0000 2.3759
0.0000 0.0000 8.0217
0.0000 2.6576 0.0000
0.0000 2.6576 5.1988
2.6576 0.0000 0.0000
2.6576 0.0000 5.1988
0.0000 0.0000 5.1988
2.6576 2.6576 2.5674
2.6576 2.6576 7.8302
0.0000 0.0000 0.0000
```


[5]
Computed, not measured: an optimized crystal structure of Ca2ScPb at the PBE level of DFT.

```
Ca2ScPb
1.0
3.6783 0.0000 0.0000
-1.8392 3.1855 0.0000
0.0000 0.0000 33.1937
Ca Sc Pb
6 3 3
Cartesian
0.0000 0.0000 0.0000
0.0000 0.0000 7.7619
0.0000 2.1237 22.1292
0.0000 2.1237 29.8911
1.8392 1.0618 11.0646
1.8392 1.0618 18.8265
0.0000 0.0000 25.0262
0.0000 2.1237 13.9616
1.8392 1.0618 2.8971
0.0000 0.0000 16.2764
0.0000 2.1237 5.2118
1.8392 1.0618 27.3410
```


[6]
Computed, not measured: an optimized crystal structure of KBa at the PBE level of DFT.

```
KBa
1.0
4.5213 0.0000 0.0000
-2.2606 3.9155 0.0000
0.0000 0.0000 15.3825
K Ba
2 2
Cartesian
0.0000 2.6104 1.9904
2.2606 1.3052 13.3920
0.0000 2.6104 9.5119
2.2606 1.3052 5.8705
```


ΔH_f (0 K) (computed, eV/atom): -0.386 -0.086 -0.677 -0.234 -0.065 0.045
V (computed, Å³/atom): 15.13 40.39 25.89 29.37 32.41 68.08